Record 1
DFT (PBE-GGA) results for crystalline BaGe2F6 at its relaxed geometry.

Cell lengths 7.4179, 7.4179, 7.4695 Å; angles 118.91, 118.91, 80.38 degrees
Atoms (fractional coordinates):
Ba1 0.1628 0.8372 0.7500
Ba2 0.8372 0.1628 0.2500
Ge1 0.2354 0.4123 0.1526
Ge2 0.4123 0.2354 0.6526
Ge3 0.5877 0.7646 0.3474
Ge4 0.7646 0.5877 0.8474
F1 0.0454 0.1868 0.0264
F2 0.1040 0.4159 0.8671
F3 0.1868 0.0454 0.5264
F4 0.2066 0.4163 0.5447
F5 0.4159 0.1040 0.3671
F6 0.4163 0.2066 0.0447
F7 0.5837 0.7934 0.9553
F8 0.5841 0.8960 0.6329
F9 0.7934 0.5837 0.4553
F10 0.8132 0.9546 0.4736
F11 0.8960 0.5841 0.1329
F12 0.9546 0.8132 0.9736

Calculated values
Space-group type: No. 15
DOS(E_F) in states/eV per cell: 0.0
Formation energy from raw total energies in eV per atom: -2.715
VASP energy in eV/atom: -5.20



Record 2
DFT (PBE-GGA) results for crystalline BaGe3F at its relaxed geometry.

Cell lengths 4.8783, 4.8783, 4.8783 Å; angles 90.00, 90.00, 90.00 degrees
Atoms (fractional coordinates):
Ba1 0.0000 0.0000 0.0000
Ge1 0.0000 0.5000 0.5000
Ge2 0.5000 0.0000 0.5000
Ge3 0.5000 0.5000 0.0000
F1 0.5000 0.5000 0.5000

Calculated values
Space-group type: No. 221
DOS(E_F) in states/eV per cell: 3.8
Formation energy from raw total energies in eV per atom: -0.366
VASP energy in eV/atom: -3.90



| no. | relative energy among the computed polymorphs (eV per atom) |
| --- | --- |
| 1 | 0.043 |
| 2 | 0.000 |